No. 1
DFT (PBE) results for an optimized crystal structure of CdIN2O.

a b c (Å): 4.4688 4.4688 4.2737
angles (deg): 90.00 90.00 90.00
Space group P4/mmm (No. 123)
Asymmetric unit:
Cd  0.0000  0.0000  0.0000 (multiplicity 1)
I  0.5000  0.5000  0.5000 (multiplicity 1)
N  0.0000  0.5000  0.0000 (multiplicity 2)
O  0.0000  0.0000  0.5000 (multiplicity 1)

Calculated values
**Mass density**: 5.5 g/cm³
**Crystal system**: tetragonal
**E_tot**: -3.0064 eV/atom

---

No. 2
DFT (PBE) results for an optimized crystal structure of CdI2NO.

a b c (Å): 6.2432 6.2432 4.0935
angles (deg): 90.00 90.00 90.00
Space group P4/mmm (No. 123)
Asymmetric unit:
Cd  0.0000  0.0000  0.0000 (multiplicity 1)
I  0.0000  0.5000  0.0000 (multiplicity 2)
N  0.5000  0.5000  0.5000 (multiplicity 1)
O  0.0000  0.0000  0.5000 (multiplicity 1)

Calculated values
**Mass density**: 4.1 g/cm³
**E above lowest polymorph**: 118.5 meV per atom
**Crystal system**: tetragonal
**E_tot**: -2.3523 eV/atom

---

No. 3
DFT (PBE) results for an optimized crystal structure of CdINO2.

a b c (Å): 4.1400 4.1400 4.3984
angles (deg): 90.00 90.00 90.00
Space group P4/mmm (No. 123)
Asymmetric unit:
Cd  0.0000  0.0000  0.0000 (multiplicity 1)
I  0.5000  0.5000  0.5000 (multiplicity 1)
N  0.0000  0.0000  0.5000 (multiplicity 1)
O  0.0000  0.5000  0.0000 (multiplicity 2)

Calculated values
**Mass density**: 6.3 g/cm³
**Crystal system**: tetragonal
**E_tot**: -3.0262 eV/atom

---

No. 4
DFT (PBE) results for an optimized crystal structure of CdINO2.

a b c (Å): 4.0728 4.0728 4.3557
angles (deg): 90.00 90.00 90.00
Space group P4/mmm (No. 123)
Asymmetric unit:
Cd  0.0000  0.0000  0.0000 (multiplicity 1)
I  0.5000  0.5000  0.5000 (multiplicity 1)
N  0.5000  0.5000  0.0000 (multiplicity 1)
O  0.0000  0.5000  0.5000 (multiplicity 2)

Calculated values
**Mass density**: 6.6 g/cm³
**Crystal system**: tetragonal
**E_tot**: -3.5879 eV/atom

---

No. 5
DFT (PBE) results for an optimized crystal structure of CdINO2.

a b c (Å): 3.9977 3.9977 7.5718
angles (deg): 90.00 90.00 90.00
Space group P4/mmm (No. 123)
Asymmetric unit:
Cd  0.0000  0.0000  0.0000 (multiplicity 1)
I  0.0000  0.0000  0.5000 (multiplicity 1)
N  0.5000  0.5000  0.5000 (multiplicity 1)
O  0.0000  0.5000  0.0000 (multiplicity 2)

Calculated values
**Mass density**: 3.9 g/cm³
**Crystal system**: tetragonal
**E_tot**: -2.9459 eV/atom

---

No. 6
DFT (PBE) results for an optimized crystal structure of CdIN2O.

a b c (Å): 4.1957 4.1957 6.4996
angles (deg): 90.00 90.00 90.00
Space group P4/mmm (No. 123)
Asymmetric unit:
Cd  0.0000  0.0000  0.0000 (multiplicity 1)
I  0.0000  0.0000  0.5000 (multiplicity 1)
N  0.0000  0.5000  0.0000 (multiplicity 2)
O  0.5000  0.5000  0.5000 (multiplicity 1)

Calculated values
**Mass density**: 4.1 g/cm³
**Crystal system**: tetragonal
**E_tot**: -2.7731 eV/atom

---

No. 7
DFT (PBE) results for an optimized crystal structure of CdI2NO.

a b c (Å): 5.1727 5.1727 3.7704
angles (deg): 90.00 90.00 90.00
Space group P4/mmm (No. 123)
Asymmetric unit:
Cd  0.0000  0.0000  0.0000 (multiplicity 1)
I  0.0000  0.5000  0.5000 (multiplicity 2)
N  0.5000  0.5000  0.5000 (multiplicity 1)
O  0.5000  0.5000  0.0000 (multiplicity 1)

Calculated values
**Mass density**: 6.5 g/cm³
**E above lowest polymorph**: 0.0 meV per atom
**Crystal system**: tetragonal
**E_tot**: -2.4708 eV/atom

---

No. 8
DFT (PBE) results for an optimized crystal structure of CdPIN2.

a b c (Å): 3.7884 3.7884 6.8089
angles (deg): 90.00 90.00 90.00
Space group P4/mmm (No. 123)
Asymmetric unit:
Cd  0.0000  0.0000  0.0000 (multiplicity 1)
P  0.5000  0.5000  0.5000 (multiplicity 1)
I  0.5000  0.5000  0.0000 (multiplicity 1)
N  0.0000  0.5000  0.5000 (multiplicity 2)

Calculated values
**Mass density**: 5.1 g/cm³
**E above lowest polymorph**: 0.0 meV per atom
**Crystal system**: tetragonal
**E_tot**: -3.7156 eV/atom

---

No. 9
DFT (PBE) results for an optimized crystal structure of CdPIN2.

a b c (Å): 4.2456 4.2456 6.9633
angles (deg): 90.00 90.00 90.00
Space group P4/mmm (No. 123)
Asymmetric unit:
Cd  0.0000  0.0000  0.0000 (multiplicity 1)
P  0.5000  0.5000  0.5000 (multiplicity 1)
I  0.0000  0.0000  0.5000 (multiplicity 1)
N  0.0000  0.5000  0.0000 (multiplicity 2)

Calculated values
**Mass density**: 3.9 g/cm³
**E above lowest polymorph**: 768.8 meV per atom
**Crystal system**: tetragonal
**E_tot**: -2.9468 eV/atom

---

No. 10
DFT (PBE) results for an optimized crystal structure of CdPbI2N.

a b c (Å): 6.1788 6.1788 4.1792
angles (deg): 90.00 90.00 90.00
Space group P4/mmm (No. 123)
Asymmetric unit:
Cd  0.0000  0.0000  0.0000 (multiplicity 1)
Pb  0.5000  0.5000  0.5000 (multiplicity 1)
I  0.0000  0.5000  0.0000 (multiplicity 2)
N  0.0000  0.0000  0.5000 (multiplicity 1)

Calculated values
**Mass density**: 6.1 g/cm³
**E above lowest polymorph**: 0.0 meV per atom
**Crystal system**: tetragonal
**E_tot**: -2.6936 eV/atom

---

No. 11
DFT (PBE) results for an optimized crystal structure of CdPbI2N.

a b c (Å): 6.3553 6.3553 4.3457
angles (deg): 90.00 90.00 90.00
Space group P4/mmm (No. 123)
Asymmetric unit:
Cd  0.0000  0.0000  0.0000 (multiplicity 1)
Pb  0.5000  0.5000  0.5000 (multiplicity 1)
I  0.0000  0.5000  0.5000 (multiplicity 2)
N  0.5000  0.5000  0.0000 (multiplicity 1)

Calculated values
**Mass density**: 5.6 g/cm³
**E above lowest polymorph**: 161.5 meV per atom
**Crystal system**: tetragonal
**E_tot**: -2.5321 eV/atom

---

No. 12
DFT (PBE) results for an optimized crystal structure of CdPdI2N.

a b c (Å): 5.9492 5.9492 4.2434
angles (deg): 90.00 90.00 90.00
Space group P4/mmm (No. 123)
Asymmetric unit:
Cd  0.0000  0.0000  0.0000 (multiplicity 1)
Pd  0.5000  0.5000  0.5000 (multiplicity 1)
I  0.0000  0.5000  0.0000 (multiplicity 2)
N  0.0000  0.0000  0.5000 (multiplicity 1)

Calculated values
**Mass density**: 5.4 g/cm³
**E above lowest polymorph**: 472.0 meV per atom
**Crystal system**: tetragonal
**E_tot**: -2.5082 eV/atom

---

no.,ΔE_f (raw) (meV/atom)
1,1808
2,1107
3,1115
4,554
5,1196
6,2042
7,989
8,1190
9,1958
10,516
11,678
12,999